[1]
A plane-wave DFT calculation with PBE-GGA was carried out for an optimized crystal structure of MgTiTcBi2.

Computed properties:
The formation enthalpy at 0 K is 1.130 eV/atom. Its crystal system is tetragonal. The space-group type is No. 123.

abc: 5.3233 5.2640 5.3233
angles: 90.00 90.00 90.00
With the nearest neighbours (Å) after each atom.
Positions (direct):
Mg 0.0000 0.5000 0.0000  2 Ti 2.63
Bi 0.0000 0.0000 0.5000  2 Ti 2.66
Ti 0.0000 0.0000 0.0000  2 Mg 2.63, 4 Bi 2.66
Bi 0.5000 0.0000 0.0000  2 Ti 2.66
Tc 0.5000 0.5000 0.5000  8 Bi 3.74, 4 Mg 3.76

***

[2]
A plane-wave DFT calculation with PBE-GGA was carried out for an optimized crystal structure of Pm4CBr2N.

Computed properties:
Its crystal system is monoclinic. The space-group type is No. 10.

abc: 3.7424 6.4800 7.6440
angles: 106.52 90.00 90.00
With the nearest neighbours (Å) after each atom.
Positions (direct):
Pm 0.5000 0.2242 0.1789  2 N 2.52, 1 C 2.54
Pm 0.0000 0.2697 0.8193  1 N 2.52, 2 C 2.54
Pm 0.5000 0.7758 0.8211  2 N 2.52, 1 C 2.54
N 0.0000 0.0000 0.0000  6 Pm 2.52
Pm 0.0000 0.7303 0.1807  1 N 2.52, 2 C 2.54
C 0.5000 0.5000 0.0000  6 Pm 2.54
Br 0.0000 0.5000 0.5000  6 Pm 3.20
Br 0.5000 0.0000 0.5000  6 Pm 3.18-3.19

***

[3]
A plane-wave DFT calculation with PBE-GGA was carried out for an optimized crystal structure of VCuAu2.

Computed properties:
The formation enthalpy at 0 K is 0.109 eV/atom. Its crystal system is tetragonal. The space-group type is No. 123.

abc: 2.7522 4.7727 4.7727
angles: 90.00 90.00 90.00
With the nearest neighbours (Å) after each atom.
Positions (direct):
Cu 0.5000 0.5000 0.5000  2 Cu 2.75, 8 Au 2.75
Au 0.0000 0.0000 0.5000  2 Au 2.75, 4 Cu 2.75, 4 V 2.75
Au 0.0000 0.5000 0.0000  2 Au 2.75, 4 Cu 2.75, 4 V 2.75
V 0.5000 0.0000 0.0000  2 V 2.75, 8 Au 2.75

***

[4]
A plane-wave DFT calculation with PBE-GGA was carried out for an optimized crystal structure of LiMoP.

Computed properties:
The formation enthalpy at 0 K is -0.109 eV/atom. Its crystal system is trigonal. The value obtained for the polymorph energy (0 for the lowest one) is 397 meV/atom. The space-group type is No. 156.

abc: 4.1395 4.1395 2.7752
angles: 90.00 90.00 120.00
With the nearest neighbours (Å) after each atom.
Positions (direct):
P 0.3333 0.6667 0.5934  3 Mo 2.42, 3 Li 2.59
Li 0.0000 0.0000 0.9522  3 P 2.59, 6 Mo 2.76-2.77, 2 Li 2.78
Mo 0.6667 0.3333 0.4544  3 P 2.42

***

[5]
A plane-wave DFT calculation with PBE-GGA was carried out for an optimized crystal structure of Te2PtI.

Computed properties:
Its crystal system is monoclinic. The space-group type is No. 12.

abc: 9.0454 4.1189 4.1186
angles: 120.00 65.78 117.06
With the nearest neighbours (Å) after each atom.
Positions (direct):
Pt 0.6856 0.9402 0.5176  6 Te 2.71-2.75
Te 0.5159 0.4792 0.9345  3 Pt 2.71-2.75
Te 0.8554 0.4012 0.1008  3 Pt 2.71-2.75
I 0.1857 0.9403 0.5177  6 Te 3.34-3.61

***

[6]
A plane-wave DFT calculation with PBE-GGA was carried out for an optimized crystal structure of AlSbPI2.

Computed properties:
Its crystal system is tetragonal. The value obtained for the polymorph energy (0 for the lowest one) is 166 meV/atom. The space-group type is No. 123.

abc: 5.4022 5.4022 5.7426
angles: 90.00 90.00 90.00
With the nearest neighbours (Å) after each atom.
Positions (direct):
Al 0.0000 0.0000 0.0000  4 I 2.70, 2 Sb 2.87
I 0.5000 0.0000 0.0000  2 Al 2.70
P 0.5000 0.5000 0.5000  4 Sb 3.82, 8 I 3.94
Sb 0.0000 0.0000 0.5000  2 Al 2.87
I 0.0000 0.5000 0.0000  2 Al 2.70

***

[7]
A plane-wave DFT calculation with PBE-GGA was carried out for an optimized crystal structure of KBS4O14.

Computed properties:
Its crystal system is monoclinic. The space-group type is No. 9.

abc: 9.5699 9.5699 14.2326
angles: 87.31 87.31 103.69
With the nearest neighbours (Å) after each atom.
Positions (direct):
O 0.4687 0.8516 0.9009  1 B 1.48, 1 S 1.56
O 0.2968 0.8113 0.6599  2 S 1.65-1.66
O 0.3979 0.6058 0.6878  1 S 1.42
O 0.4443 0.1248 0.0426  1 S 1.42
O 0.2603 0.7606 0.4000  1 B 1.49, 1 S 1.55
O 0.8417 0.5639 0.1375  1 S 1.43
S 0.2575 0.6912 0.3037  3 O 1.43-1.55
S 0.7374 0.4307 0.1314  3 O 1.42-1.56
O 0.6058 0.3979 0.1878  1 S 1.42
O 0.3303 0.0784 0.6403  1 S 1.43
B 0.8185 0.3844 0.9573  4 O 1.47-1.49
O 0.6560 0.9325 0.2483  1 S 1.42
S 0.0295 0.3048 0.5516  3 O 1.42-1.55
S 0.5948 0.7831 0.9286  3 O 1.42-1.56
K 0.2870 0.3155 0.7428  7 O 2.79-3.11
S 0.9388 0.1162 0.4049  3 O 1.43-1.55
O 0.3066 0.8704 0.0372  1 B 1.49, 1 S 1.55
O 0.0322 0.2099 0.6321  1 S 1.43
O 0.5194 0.8661 0.3979  1 B 1.47, 1 S 1.56
O 0.0784 0.3303 0.1403  1 S 1.43
O 0.8704 0.3066 0.5372  1 B 1.49, 1 S 1.55
O 0.1161 0.9108 0.5832  1 S 1.43
O 0.7298 0.1465 0.7523  1 S 1.43
O 0.2258 0.8491 0.8765  1 B 1.48, 1 S 1.55
O 0.2099 0.0322 0.1321  1 S 1.43
O 0.8491 0.2258 0.3765  1 B 1.48, 1 S 1.55
S 0.9496 0.2673 0.0960  3 O 1.43-1.55
O 0.8141 0.7023 0.3531  1 S 1.42
O 0.0072 0.8610 0.9725  1 S 1.43
O 0.4101 0.3054 0.4306  1 S 1.43
O 0.8516 0.4687 0.4009  1 B 1.48, 1 S 1.56
B 0.8047 0.3211 0.4451  4 O 1.47-1.49
O 0.0358 0.4457 0.7851  1 S 1.43
B 0.3211 0.8047 0.9451  4 O 1.47-1.49
S 0.7831 0.5948 0.4286  3 O 1.42-1.56
O 0.7023 0.8141 0.8531  1 S 1.42
O 0.9325 0.6560 0.7483  1 S 1.42
O 0.2241 0.0706 0.9563  2 S 1.65-1.67
O 0.5163 0.6099 0.9192  2 S 1.65-1.66
O 0.1465 0.7298 0.2523  1 S 1.43
O 0.6475 0.2732 0.4617  1 B 1.47, 1 S 1.55
O 0.6292 0.8053 0.0241  1 S 1.43
S 0.9211 0.5176 0.7933  3 O 1.42-1.56
O 0.1248 0.4443 0.5426  1 S 1.42
K 0.8524 0.9129 0.6773  8 O 2.77-3.08
O 0.3579 0.9462 0.5035  1 B 1.48, 1 S 1.55
O 0.0706 0.2241 0.4563  2 S 1.65-1.67
O 0.6099 0.5163 0.4192  2 S 1.65-1.66
O 0.8113 0.2968 0.1599  2 S 1.65-1.66
O 0.5221 0.3901 0.5778  1 S 1.43
S 0.6912 0.2575 0.8037  3 O 1.43-1.55
O 0.0088 0.0810 0.3215  1 S 1.43
O 0.2654 0.5439 0.3133  1 S 1.43
O 0.0810 0.0088 0.8215  1 S 1.43
B 0.3844 0.8185 0.4573  4 O 1.47-1.49
O 0.9462 0.3579 0.0035  1 B 1.48, 1 S 1.55
O 0.4152 0.7760 0.2510  2 S 1.66
O 0.7760 0.4152 0.7510  2 S 1.66
O 0.7052 0.4007 0.0271  1 B 1.48, 1 S 1.56
O 0.5639 0.8417 0.6375  1 S 1.43
O 0.9108 0.1161 0.0832  1 S 1.43
O 0.8661 0.5194 0.8979  1 B 1.47, 1 S 1.56
S 0.5349 0.3635 0.4803  3 O 1.43-1.55
S 0.1162 0.9388 0.9049  3 O 1.43-1.55
O 0.4007 0.7052 0.5271  1 B 1.48, 1 S 1.56
S 0.2673 0.9496 0.5960  3 O 1.43-1.55
S 0.4307 0.7374 0.6314  3 O 1.42-1.56
S 0.5176 0.9211 0.2933  3 O 1.42-1.56
K 0.3155 0.2870 0.2428  7 O 2.79-3.11
O 0.2732 0.6475 0.9617  1 B 1.47, 1 S 1.55
O 0.5439 0.2654 0.8133  1 S 1.43
O 0.8053 0.6292 0.5241  1 S 1.43
S 0.3635 0.5349 0.9803  3 O 1.43-1.55
O 0.7606 0.2603 0.9000  1 B 1.49, 1 S 1.55
O 0.3054 0.4101 0.9306  1 S 1.43
K 0.9129 0.8524 0.1773  8 O 2.77-3.08
S 0.3048 0.0295 0.0516  3 O 1.42-1.55
O 0.3901 0.5221 0.0778  1 S 1.43
O 0.4457 0.0358 0.2851  1 S 1.43
O 0.8610 0.0072 0.4725  1 S 1.43

***

[8]
A plane-wave DFT calculation with PBE-GGA was carried out for an optimized crystal structure of Tb3PrDy2Se6.

Computed properties:
Its crystal system is monoclinic. The space-group type is No. 12.

abc: 7.1371 7.1371 7.1355
angles: 99.55 99.55 120.24
With the nearest neighbours (Å) after each atom.
Positions (direct):
Se 0.0846 0.4297 0.2554  3 Tb 2.89-2.93, 2 Dy 2.90-2.91, 1 Pr 3.00
Tb 0.5000 0.5000 0.5000  6 Se 2.85-2.93
Se 0.4297 0.0846 0.2554  3 Tb 2.89-2.93, 2 Dy 2.90-2.91, 1 Pr 3.00
Tb 0.8409 0.1591 0.5000  6 Se 2.88-2.92
Se 0.5703 0.9154 0.7446  3 Tb 2.89-2.93, 2 Dy 2.90-2.91, 1 Pr 3.00
Se 0.9154 0.5703 0.7446  3 Tb 2.89-2.93, 2 Dy 2.90-2.91, 1 Pr 3.00
Pr 0.0000 0.0000 0.0000  6 Se 2.97-3.00
Dy 0.6653 0.3347 0.0000  6 Se 2.87-2.91
Dy 0.3347 0.6653 0.0000  6 Se 2.87-2.91
Tb 0.1591 0.8409 0.5000  6 Se 2.88-2.92
Se 0.7391 0.7391 0.2497  3 Tb 2.85-2.88, 2 Dy 2.87, 1 Pr 2.97
Se 0.2609 0.2609 0.7503  3 Tb 2.85-2.88, 2 Dy 2.87, 1 Pr 2.97

***

[9]
A plane-wave DFT calculation with PBE-GGA was carried out for an optimized crystal structure of BTePt2.

Computed properties:
Its crystal system is tetragonal. The value obtained for the polymorph energy (0 for the lowest one) is 0 meV/atom. The space-group type is No. 122.

abc: 5.0533 5.0533 6.9841
angles: 68.79 68.79 90.00
With the nearest neighbours (Å) after each atom.
Positions (direct):
Pt 0.8750 0.7762 0.7500  2 B 2.10
B 0.2500 0.7500 0.5000  4 Pt 2.10
Te 0.0000 0.0000 0.0000  4 Pt 2.64
Pt 0.5262 0.1250 0.2500  2 B 2.10
Pt 0.2238 0.6250 0.2500  2 B 2.10
B 0.5000 0.5000 0.0000  4 Pt 2.10
Pt 0.3750 0.4738 0.7500  2 B 2.10
Te 0.7500 0.2500 0.5000  4 Pt 2.64

***

[10]
A plane-wave DFT calculation with PBE-GGA was carried out for an optimized crystal structure of Mn2CdSb.

Computed properties:
Its crystal system is orthorhombic. The value obtained for the polymorph energy (0 for the lowest one) is 41 meV/atom. The space-group type is No. 65.

abc: 4.8858 4.8858 3.1444
angles: 90.00 90.00 104.28
With the nearest neighbours (Å) after each atom.
Positions (direct):
Mn 0.5000 0.5000 0.0000  4 Sb 2.91, 4 Cd 2.91, 4 Mn 3.00-3.14
Mn 0.0000 0.0000 0.0000  4 Cd 2.91, 4 Sb 2.91, 4 Mn 3.00-3.14
Cd 0.0000 0.5000 0.5000  8 Mn 2.91, 2 Sb 3.00, 2 Cd 3.14
Sb 0.5000 0.0000 0.5000  8 Mn 2.91, 2 Cd 3.00, 2 Sb 3.14

***

[11]
A plane-wave DFT calculation with PBE-GGA was carried out for an optimized crystal structure of LaPm2Hg.

Computed properties:
The formation enthalpy at 0 K is -0.136 eV/atom. Its crystal system is trigonal. The value obtained for the polymorph energy (0 for the lowest one) is 99 meV/atom. The space-group type is No. 160.

abc: 3.7384 3.7384 11.1518
angles: 80.38 80.38 60.04
With the nearest neighbours (Å) after each atom.
Positions (direct):
La 0.5000 0.5000 0.5002  6 Pm 3.73-3.74, 6 La 3.74
Pm 0.2596 0.2596 0.2210  3 Hg 3.24
Hg 0.6666 0.6666 0.0003  6 Pm 3.24-3.25
Pm 0.0738 0.0738 0.7785  3 Hg 3.25

***

[12]
A plane-wave DFT calculation with PBE-GGA was carried out for an optimized crystal structure of TaCdBi2O.

Computed properties:
Its crystal system is tetragonal. The space-group type is No. 123.

abc: 5.5001 5.2307 5.5001
angles: 90.00 90.00 90.00
With the nearest neighbours (Å) after each atom.
Positions (direct):
O 0.5000 0.5000 0.5000  8 Bi 3.80, 4 Ta 3.89
Cd 0.0000 0.0000 0.0000  2 Ta 2.62, 4 Bi 2.75
Ta 0.0000 0.5000 0.0000  2 Cd 2.62
Bi 0.5000 0.0000 0.0000  2 Cd 2.75
Bi 0.0000 0.0000 0.5000  2 Cd 2.75

***

| no. | electronic total energy (eV/atom) |
| --- | --- |
| 1 | -4.39 |
| 2 | -6.17 |
| 3 | -4.83 |
| 4 | -6.16 |
| 5 | -3.79 |
| 6 | -2.60 |
| 7 | -6.13 |
| 8 | -5.84 |
| 9 | -5.51 |
| 10 | -5.55 |
| 11 | -3.82 |
| 12 | -3.22 |